1.
Density functional theory data (GGA-PBE) for a relaxed BaLi4Pb4 crystal.

a = 5.7211 Å, b = 9.4773 Å, c = 9.4773 Å
α = 90.00°, β = 90.00°, γ = 90.00°
Closest atoms and distances in Å follow each position.
Fractional coordinates of all 18 atoms:
Li 0.4992 0.7401 0.8636  5 Pb 2.85-3.14
Li 0.5008 0.1364 0.7401  5 Pb 2.85-3.14
Li 0.5008 0.8636 0.2599  5 Pb 2.85-3.14
Li 0.9992 0.6364 0.2401  5 Pb 2.85-3.14
Li 0.0008 0.7599 0.6364  5 Pb 2.85-3.14
Li 0.9992 0.3636 0.7599  5 Pb 2.85-3.14
Li 0.0008 0.2401 0.3636  5 Pb 2.85-3.14
Li 0.4992 0.2599 0.1364  5 Pb 2.85-3.14
Pb 0.5010 0.1335 0.4088  5 Li 2.85-3.14, 1 Pb 3.07
Pb 0.0010 0.0912 0.6335  5 Li 2.85-3.14, 1 Pb 3.07
Pb 0.4990 0.5912 0.1335  5 Li 2.85-3.14, 1 Pb 3.07
Pb 0.9990 0.3665 0.0912  5 Li 2.85-3.14, 1 Pb 3.07
Pb 0.0010 0.9088 0.3665  5 Li 2.85-3.14, 1 Pb 3.07
Pb 0.4990 0.4088 0.8665  5 Li 2.85-3.14, 1 Pb 3.07
Pb 0.9990 0.6335 0.9088  5 Li 2.85-3.14, 1 Pb 3.07
Pb 0.5010 0.8665 0.5912  5 Li 2.85-3.14, 1 Pb 3.07
Ba 0.0000 0.0000 0.0000  4 Pb 3.58, 8 Li 3.99
Ba 0.5000 0.5000 0.5000  4 Pb 3.58, 8 Li 3.99

Values from the calculation:
The energy relative to the elements comes out at -208 meV per atom.


2.
Density functional theory data (GGA-PBE) for a relaxed Ga3TeH crystal.

a = 4.6376 Å, b = 4.6376 Å, c = 4.6376 Å
α = 90.00°, β = 90.00°, γ = 90.00°
Closest atoms and distances in Å follow each position.
Fractional coordinates of all 5 atoms:
H 0.0000 0.0000 0.0000  6 Ga 2.32
Ga 0.5000 0.0000 0.0000  2 H 2.32
Ga 0.0000 0.0000 0.5000  2 H 2.32
Ga 0.0000 0.5000 0.0000  2 H 2.32
Te 0.5000 0.5000 0.5000  12 Ga 3.28

Values from the calculation:
The calculation puts the final energy at -2.95 eV per atom.


3.
Density functional theory data (GGA-PBE) for a relaxed HfGaSe3 crystal.

a = 5.2035 Å, b = 5.2035 Å, c = 5.2035 Å
α = 90.00°, β = 90.00°, γ = 90.00°
Closest atoms and distances in Å follow each position.
Fractional coordinates of all 5 atoms:
Se 0.5000 0.0000 0.0000  2 Hf 2.60
Se 0.0000 0.0000 0.5000  2 Hf 2.60
Se 0.0000 0.5000 0.0000  2 Hf 2.60
Ga 0.5000 0.5000 0.5000  12 Se 3.68
Hf 0.0000 0.0000 0.0000  6 Se 2.60

Values from the calculation:
For the relative energy among the computed polymorphs, the calculation gives 0.00 eV/f.u. The value obtained for the formation energy (no corrections) is -13.50 kcal/mol of atoms.


4.
Density functional theory data (GGA-PBE) for a relaxed Ba3HBr crystal.

a = 5.7215 Å, b = 5.7215 Å, c = 5.7215 Å
α = 90.00°, β = 90.00°, γ = 90.00°
Closest atoms and distances in Å follow each position.
Fractional coordinates of all 5 atoms:
Ba 0.0000 0.0000 0.5000  2 H 2.86
Ba 0.0000 0.5000 0.0000  2 H 2.86
Ba 0.5000 0.0000 0.0000  2 H 2.86
H 0.0000 0.0000 0.0000  6 Ba 2.86
Br 0.5000 0.5000 0.5000  12 Ba 4.05

Values from the calculation:
For the relative energy among the computed polymorphs, the calculation gives 0.00 eV/f.u.